AlIr2Br after structural relaxation. Source: the Alexandria database, functional PBE. Values from VASP.

Calculated values
The total energy is -5.257 eV/atom. The calculated density comes out at 13.01 Mg/m³.

Quantum ESPRESSO input file:
```
&SYSTEM
  ibrav = 0, nat = 4, ntyp = 3
/
ATOMIC_SPECIES
Al 26.98 Al.upf
Ir 192.22 Ir.upf
Br 79.90 Br.upf
ATOMIC_POSITIONS crystal
Al 0.5000 0.5000 0.0000
Ir 0.0000 0.0000 0.0000
Ir 0.0000 0.5000 0.5000
Br 0.5000 0.0000 0.5000
CELL_PARAMETERS angstrom
-1.9131 -1.0849 -2.7174
3.3960 -1.9502 -1.6122
-1.0156 -3.5220 2.1211
```